No. 1
# MnAgMo2Os, optimized geometry, DFT PBE
# DFT total energy in eV for the cell shown: -38.6
# Density in g cm⁻³: 10.239
# Calculated volume in Å³/cell: 88
# Space-group type: No. 123
data_MnAgMo2Os
_chemical_formula_sum 'Mn1 Ag1 Mo2 Os1'
_space_group_name_H-M_alt 'P 1'
_space_group_IT_number 1
_space_group_name_Hall 'P 1'
_cell_length_a 4.444
_cell_length_b 4.444
_cell_length_c 4.475
_cell_angle_alpha 90.00
_cell_angle_beta 90.00
_cell_angle_gamma 90.00
loop_
_atom_site_label
_atom_site_type_symbol
_atom_site_fract_x
_atom_site_fract_y
_atom_site_fract_z
Mn1 Mn 0.000 0.000 0.000
Ag1 Ag 0.500 0.500 0.500
Mo1 Mo 0.000 0.500 0.000
Mo2 Mo 0.500 0.000 0.000
Os1 Os 0.000 0.000 0.500

***

No. 2
# Mn2AgMoP, optimized geometry, DFT PBE
# DFT total energy in eV for the cell shown: -29.6
# Density in g cm⁻³: 5.497
# Calculated volume in Å³/cell: 104
# Space-group type: No. 123
data_Mn2AgMoP
_chemical_formula_sum 'Mn2 Ag1 Mo1 P1'
_space_group_name_H-M_alt 'P 1'
_space_group_IT_number 1
_space_group_name_Hall 'P 1'
_cell_length_a 4.492
_cell_length_b 4.492
_cell_length_c 5.158
_cell_angle_alpha 90.00
_cell_angle_beta 90.00
_cell_angle_gamma 90.00
loop_
_atom_site_label
_atom_site_type_symbol
_atom_site_fract_x
_atom_site_fract_y
_atom_site_fract_z
Mn1 Mn 0.000 0.500 0.000
Mn2 Mn 0.500 0.000 0.000
Ag1 Ag 0.000 0.000 0.500
Mo1 Mo 0.000 0.000 0.000
P1 P 0.500 0.500 0.500